[1]
# LaTa2BiCl

LaTa2BiCl after structural relaxation (PBE, Alexandria).

Summary:
M_tot = 0.0 Bohr magnetons per cell
electronic total energy = -6.29 eV per atom
V = 25.3 A^3/atom

Unit cell a=4.5996 b=5.9736 c=4.5996 alpha=90.00 beta=90.00 gamma=90.00
Element x y z (fractional)
Ta1 0.5000 0.0000 0.0000
Ta2 0.0000 0.0000 0.5000
La1 0.5000 0.5000 0.5000
Bi1 0.0000 0.5000 0.0000
Cl1 0.0000 0.0000 0.0000

---

[2]
# La3BiTeCl

La3BiTeCl after structural relaxation (PBE, Alexandria).

Summary:
M_tot = 1.9 Bohr magnetons per cell
electronic total energy = -5.23 eV per atom
V = 34.3 A^3/atom

Unit cell a=4.5717 b=9.1535 c=10.0204 alpha=100.95 beta=90.00 gamma=90.00
Element x y z (fractional)
Cl1 0.2500 0.0904 0.5862
Cl2 0.7500 0.9096 0.4138
Bi1 0.7500 0.3413 0.8322
Bi2 0.2500 0.6587 0.1678
La1 0.2500 0.5936 0.8403
La2 0.7500 0.4064 0.1597
La3 0.2500 0.0976 0.8773
La4 0.7500 0.9024 0.1227
La5 0.2500 0.7523 0.5005
La6 0.7500 0.2477 0.4995
Te1 0.7500 0.8305 0.7764
Te2 0.2500 0.1695 0.2236

---

[3]
# LaTl2BiCl

LaTl2BiCl after structural relaxation (PBE, Alexandria).

Summary:
M_tot = 0.7 Bohr magnetons per cell
electronic total energy = -2.94 eV per atom
V = 38.0 A^3/atom

Unit cell a=5.9132 b=5.4406 c=5.9132 alpha=90.00 beta=90.00 gamma=90.00
Element x y z (fractional)
Bi1 0.0000 0.0000 0.0000
La1 0.5000 0.5000 0.5000
Tl1 0.0000 0.0000 0.5000
Tl2 0.5000 0.0000 0.0000
Cl1 0.0000 0.5000 0.0000